SrMg3Tl PBE optimized geometry; DFT formation energy = 0.1534 eV per atom; E above lowest polymorph = 1.41 eV per formula unit; E_tot = -8.06 eV per formula unit; M_tot = 0.00 μB per cell; density of states at the Fermi level = 1.042 states/eV/atom; symmetry = Pm-3m, No. 221
1.0
5.5205 0.0000 0.0000
0.0000 5.5205 0.0000
0.0000 0.0000 5.5205
Sr Mg Tl
1 3 1
direct
0.5000 0.5000 0.5000 Sr
0.5000 0.0000 0.0000 Mg
0.0000 0.5000 0.0000 Mg
0.0000 0.0000 0.5000 Mg
0.0000 0.0000 0.0000 Tl